DFT (GGA-PBE) results for a relaxed Cr2CuHg crystal.

## Properties
Crystal system ... monoclinic
Mass density ... 10.8 g/cm3
DFT formation energy ... 0.66 eV per atom

Cell lengths 5.709, 4.915, 2.651 Å; angles 89.84, 62.64, 117.18 degrees
Fractional coordinates of all 4 atoms:
Cr  0.000  0.000  0.000
Cr  0.500  0.000  0.500
Cu  0.000  0.500  0.500
Hg  0.500  0.500  0.000